Record 1
# KNa6Hg

KNa6Hg after structural relaxation (GGA-PBE, Alexandria via LeMat-Bulk). Values from VASP.

Calculated values
- distance to the lowest polymorph of the same formula (eV per formula unit) = 0.28

Geometry as Quantum ESPRESSO input:
```
&SYSTEM
  ibrav = 0, nat = 8, ntyp = 3
/
ATOMIC_SPECIES
K 39.10 K.upf
Na 22.99 Na.upf
Hg 200.59 Hg.upf
ATOMIC_POSITIONS angstrom
K 0.0000 0.0000 0.0000
Na 0.0000 2.6174 4.1933
Na 0.0000 2.6174 7.7718
Na 2.6174 0.0000 4.1933
Na 2.6174 0.0000 7.7718
Na 2.6174 2.6174 1.7144
Na 2.6174 2.6174 10.2507
Hg 0.0000 0.0000 5.9826
CELL_PARAMETERS angstrom
5.2347 0.0000 0.0000
0.0000 5.2347 0.0000
0.0000 0.0000 11.9651
```

Record 2
# K3NaHg6

K3NaHg6 after structural relaxation (GGA-PBE, Alexandria via LeMat-Bulk). Values from VASP.

Geometry as Quantum ESPRESSO input:
```
&SYSTEM
  ibrav = 0, nat = 20, ntyp = 3
/
ATOMIC_SPECIES
K 39.10 K.upf
Na 22.99 Na.upf
Hg 200.59 Hg.upf
ATOMIC_POSITIONS angstrom
K -3.7285 1.2217 5.6211
K -2.9222 -2.6181 7.8696
K 0.8063 -3.8398 5.6211
K -0.8063 3.8398 7.8696
K 2.9222 2.6181 5.6211
K 3.7285 -1.2216 7.8696
Na 0.0000 0.0000 0.0000
Na 0.0000 0.0000 6.7454
Hg -0.3829 -2.3173 2.1409
Hg -1.8154 1.4903 2.1409
Hg -1.8154 -1.4903 4.6044
Hg 2.1983 0.8270 2.1409
Hg -0.3829 2.3173 4.6044
Hg 2.1983 -0.8270 4.6044
Hg -2.1983 0.8270 8.8863
Hg 0.3829 -2.3173 8.8863
Hg -2.1983 -0.8270 11.3498
Hg 1.8154 1.4903 8.8863
Hg 1.8154 -1.4903 11.3498
Hg 0.3829 2.3173 11.3498
CELL_PARAMETERS angstrom
6.6507 3.8398 4.4969
-6.6507 3.8398 4.4969
0.0000 -7.6795 4.4969
```

Record 3
# KNa2Hg4

KNa2Hg4 after structural relaxation (GGA-PBE, Alexandria via LeMat-Bulk). Values from VASP.

Calculated values
- distance to the lowest polymorph of the same formula (eV per formula unit) = 0.12

Geometry as Quantum ESPRESSO input:
```
&SYSTEM
  ibrav = 0, nat = 14, ntyp = 3
/
ATOMIC_SPECIES
K 39.10 K.upf
Na 22.99 Na.upf
Hg 200.59 Hg.upf
ATOMIC_POSITIONS angstrom
K 0.0000 0.0000 0.0000
K 1.9364 2.5645 10.5489
Na 0.0000 2.5645 4.1371
Na 0.0000 2.5645 16.9606
Na 1.9364 0.0000 6.4117
Na 1.9364 0.0000 14.6860
Hg 0.0000 0.0000 8.9717
Hg 0.0000 0.0000 12.1260
Hg 0.0000 2.5645 7.2741
Hg 0.0000 2.5645 13.8236
Hg 1.9364 0.0000 3.2748
Hg 1.9364 0.0000 17.8230
Hg 1.9364 2.5645 1.5772
Hg 1.9364 2.5645 19.5206
CELL_PARAMETERS angstrom
3.8727 0.0000 0.0000
0.0000 5.1290 0.0000
0.0000 0.0000 21.0977
```

Record 4
# K6Na10Hg

K6Na10Hg after structural relaxation (GGA-PBE, Alexandria via LeMat-Bulk). Values from VASP.

Geometry as Quantum ESPRESSO input:
```
&SYSTEM
  ibrav = 0, nat = 17, ntyp = 3
/
ATOMIC_SPECIES
K 39.10 K.upf
Na 22.99 Na.upf
Hg 200.59 Hg.upf
ATOMIC_POSITIONS angstrom
K -2.1937 3.7996 1.9538
K -3.4466 5.9697 5.4205
K 4.3874 0.0000 1.9538
K 2.1937 3.7996 5.4205
K 6.8932 0.0000 5.4205
K 3.4466 5.9697 1.9538
Na -1.1952 2.0701 5.7586
Na -4.4451 7.6992 1.6157
Na 2.3904 0.0000 5.7586
Na 1.1952 2.0701 1.6157
Na 0.0000 6.5129 0.0000
Na 0.0000 6.5129 3.6872
Na 5.6403 3.2564 0.0000
Na 5.6403 3.2564 3.6872
Na 8.8902 0.0000 1.6157
Na 4.4451 7.6992 5.7586
Hg 0.0000 0.0000 3.6872
CELL_PARAMETERS angstrom
11.2806 0.0000 0.0000
-5.6403 9.7693 0.0000
0.0000 0.0000 7.3744
```

Record 5
# K2Na3Hg4

K2Na3Hg4 after structural relaxation (GGA-PBE, Alexandria via LeMat-Bulk). Values from VASP.

Calculated values
- distance to the lowest polymorph of the same formula (eV per formula unit) = 0.00

Geometry as Quantum ESPRESSO input:
```
&SYSTEM
  ibrav = 0, nat = 18, ntyp = 3
/
ATOMIC_SPECIES
K 39.10 K.upf
Na 22.99 Na.upf
Hg 200.59 Hg.upf
ATOMIC_POSITIONS angstrom
K 1.4645 1.4056 0.4704
K 0.0545 2.8575 4.4894
K 5.8281 5.6686 3.5487
K 4.4181 7.1205 7.5677
Na 1.4981 5.7205 2.0153
Na 0.0881 7.0686 6.0344
Na 2.9413 0.0000 4.0190
Na 4.3513 4.2630 0.0000
Na 5.7946 1.4575 2.0037
Na 4.3845 2.8055 6.0228
Hg -1.7393 4.6281 7.0098
Hg -0.3293 8.1610 2.9907
Hg 1.8889 1.0974 6.9947
Hg 3.2989 3.1656 2.9757
Hg 2.5837 5.3605 5.0624
Hg 3.9937 7.4286 1.0434
Hg 6.2119 0.3651 5.0473
Hg 7.6219 3.8980 1.0283
CELL_PARAMETERS angstrom
8.7026 0.0000 0.0000
0.0000 8.5261 0.0000
-2.8200 0.0000 8.0381
```

Record 6
# KNa8Hg4

KNa8Hg4 after structural relaxation (GGA-PBE, Alexandria via LeMat-Bulk). Values from VASP.

Calculated values
- distance to the lowest polymorph of the same formula (eV per formula unit) = 1.68

Geometry as Quantum ESPRESSO input:
```
&SYSTEM
  ibrav = 0, nat = 13, ntyp = 3
/
ATOMIC_SPECIES
K 39.10 K.upf
Na 22.99 Na.upf
Hg 200.59 Hg.upf
ATOMIC_POSITIONS angstrom
K 0.0000 0.0000 0.0000
Na 7.9364 4.3189 4.3189
Na 1.8854 1.8854 1.8854
Na 4.2422 4.2422 1.8854
Na 4.2422 1.8854 4.2422
Na 1.8854 4.2422 4.2422
Na 4.3189 7.9364 4.3189
Na 4.3189 4.3189 7.9364
Na 7.9364 7.9364 7.9364
Hg 4.9208 4.9208 4.9208
Hg 7.3346 7.3346 4.9208
Hg 7.3346 4.9208 7.3346
Hg 4.9208 7.3346 7.3346
CELL_PARAMETERS angstrom
0.0000 6.1277 6.1277
6.1277 0.0000 6.1277
6.1277 6.1277 0.0000
```

| no. | ΔH_f (0 K) (eV per atom) | magnetization (μB/f.u.) |
| --- | --- | --- |
| 1 | -0.013 | 0.00 |
| 2 | -0.222 | 0.00 |
| 3 | -0.246 | 0.00 |
| 4 | 0.028 | 0.00 |
| 5 | -0.227 | 0.00 |
| 6 | -0.040 | 0.00 |